Record 1
# CePr2Tl3S6

An optimized crystal structure of CePr2Tl3S6 (GGA-PBE, the Alexandria database).

Computed properties:
Formation energy (no corrections) = -1.428 eV per atom
Space group = C2/m
Electronic total energy = -5.3748 eV/atom
Total magnetic moment = 1.0 μB/f.u.

Unit cell a=7.300 b=7.300 c=7.869 alpha=98.89 beta=98.89 gamma=120.00
Positions (direct):
Ce: 0.000 0.000 0.000
Pr: 0.333 0.667 0.000
Pr: 0.667 0.333 0.000
Tl: 0.167 0.833 0.500
Tl: 0.833 0.167 0.500
Tl: 0.500 0.500 0.500
S: 0.932 0.601 0.796
S: 0.738 0.738 0.205
S: 0.068 0.399 0.204
S: 0.601 0.932 0.796
S: 0.262 0.262 0.795
S: 0.399 0.068 0.204

***

Record 2
# Ce4PrTm3S8

An optimized crystal structure of Ce4PrTm3S8 (GGA-PBE, the Alexandria database).

Computed properties:
Formation energy (no corrections) = -2.001 eV per atom
Space group = R-3m
Electronic total energy = -6.6855 eV/atom
Total magnetic moment = 2.8 μB/f.u.

Unit cell a=7.907 b=7.972 c=7.907 alpha=119.73 beta=120.00 gamma=90.00
Positions (direct):
Ce: 0.500 0.000 0.000
Ce: 0.500 0.000 0.500
Ce: 0.000 0.000 0.000
Ce: 0.000 0.000 0.500
Pr: 0.000 0.500 0.000
Tm: 0.500 0.500 0.000
Tm: 0.500 0.500 0.500
Tm: 0.000 0.500 0.500
S: 0.252 0.740 0.988
S: 0.252 0.740 0.504
S: 0.256 0.268 0.512
S: 0.735 0.740 0.988
S: 0.265 0.260 0.012
S: 0.744 0.732 0.488
S: 0.748 0.260 0.496
S: 0.748 0.260 0.012